Here is a relaxed CrB2Br2 crystal from Alexandria. Energies are from PBE.

Output
Uncorrected energy in eV per formula unit: -19.82
Excess energy over the best structure of this formula in the dataset in eV per atom: 0.000

Cell: 4.868 4.868 4.590 Å, 57.97 57.97 90.00°
Element x y z (fractional)
1 Br 0.750 0.250 0.500
2 Cr 0.000 0.000 0.000
3 Br 0.250 0.750 0.500
4 B 0.363 0.363 0.274
5 B 0.637 0.637 0.726


Here is a relaxed Ba3SiH crystal from Alexandria. Energies are from PBE.

Output
Uncorrected energy in eV per formula unit: -15.25
Excess energy over the best structure of this formula in the dataset in eV per atom: 0.105

Cell: 5.422 5.422 5.422 Å, 90.00 90.00 90.00°
Element x y z (fractional)
1 H 0.000 0.000 0.000
2 Ba 0.500 0.000 0.000
3 Ba 0.000 0.500 0.000
4 Ba 0.000 0.000 0.500
5 Si 0.500 0.500 0.500


Here is a relaxed RbIrCl4 crystal from Alexandria. Energies are from PBE.

Output
Uncorrected energy in eV per formula unit: -23.01

Cell: 6.281 10.210 8.838 Å, 115.11 96.10 115.55°
Element x y z (fractional)
1 Cl 0.163 0.823 0.838
2 Cl 0.419 0.307 0.391
3 Cl 0.837 0.177 0.162
4 Cl 0.326 0.486 0.162
5 Ir 0.193 0.443 0.386
6 Cl 0.674 0.514 0.838
7 Cl 0.581 0.693 0.609
8 Cl 0.972 0.584 0.391
9 Ir 0.807 0.557 0.614
10 Cl 0.028 0.416 0.609
11 Rb 0.533 0.783 0.067
12 Rb 0.467 0.217 0.933


Here is a relaxed Ac2Ga3HgPd4 crystal from Alexandria. Energies are from PBE.

Output
Uncorrected energy in eV per formula unit: -45.75
Calculated formation energy in eV per formula unit: -7.38

Cell: 4.547 4.547 10.505 Å, 90.00 90.00 90.00°
Element x y z (fractional)
1 Pd 0.000 0.000 0.000
2 Ga 0.000 0.000 0.500
3 Pd 0.500 0.000 0.650
4 Ac 0.500 0.000 0.243
5 Ga 0.000 0.500 0.110
6 Pd 0.500 0.500 0.000
7 Hg 0.500 0.500 0.500
8 Ga 0.500 0.000 0.890
9 Pd 0.000 0.500 0.350
10 Ac 0.000 0.500 0.757


Here is a relaxed Nb3HgSb crystal from Alexandria. Energies are from PBE.

Output
Uncorrected energy in eV per formula unit: -27.60
Excess energy over the best structure of this formula in the dataset in eV per atom: 0.000

Cell: 5.048 5.048 5.048 Å, 90.00 90.00 90.00°
Element x y z (fractional)
1 Nb 0.000 0.500 0.000
2 Nb 0.000 0.000 0.500
3 Hg 0.500 0.500 0.500
4 Nb 0.500 0.000 0.000
5 Sb 0.000 0.000 0.000


Here is a relaxed MoSe crystal from Alexandria. Energies are from PBE.

Output
Uncorrected energy in eV per formula unit: -14.02
Excess energy over the best structure of this formula in the dataset in eV per atom: 0.426

Cell: 6.622 5.843 8.667 Å, 90.00 90.00 90.00°
Element x y z (fractional)
1 Mo 0.154 0.516 0.821
2 Se 0.337 0.060 0.316
3 Mo 0.672 0.691 0.480
4 Se 0.387 0.469 0.602
5 Se 0.837 0.440 0.684
6 Se 0.113 0.531 0.102
7 Se 0.663 0.560 0.184
8 Mo 0.654 0.984 0.179
9 Mo 0.328 0.191 0.020
10 Mo 0.172 0.809 0.520
11 Se 0.613 0.969 0.898
12 Mo 0.846 0.016 0.679
13 Se 0.887 0.031 0.398
14 Mo 0.828 0.309 0.980
15 Mo 0.346 0.484 0.321
16 Se 0.163 0.940 0.816


Here is a relaxed PuMgNpOs crystal from Alexandria. Energies are from PBE.

Output
Uncorrected energy in eV per formula unit: -39.43
Calculated formation energy in eV per formula unit: 0.67

Cell: 4.767 4.767 4.767 Å, 60.00 60.00 60.00°
Each line ends with the local moment (μB).
Element x y z (fractional)
1 Os 0.750 0.750 0.750  -0.49
2 Pu 0.250 0.250 0.250  5.03
3 Mg 0.000 0.000 0.000  -0.01
4 Np 0.500 0.500 0.500  3.20


Here is a relaxed IrOs2Au crystal from Alexandria. Energies are from PBE.

Output
Uncorrected energy in eV per formula unit: -32.96
Excess energy over the best structure of this formula in the dataset in eV per atom: 0.155
Calculated formation energy in eV per formula unit: 1.64

Cell: 4.812 4.812 4.822 Å, 80.70 80.70 33.46°
Element x y z (fractional)
1 Ir 0.742 0.742 0.759
2 Au 0.499 0.499 0.503
3 Os 0.258 0.258 0.227
4 Os 0.000 0.000 0.010


Here is a relaxed Zr2AgSb crystal from Alexandria. Energies are from PBE.

Output
Uncorrected energy in eV per formula unit: -25.15

Cell: 5.679 5.679 5.679 Å, 137.92 134.98 63.32°
Element x y z (fractional)
1 Zr 0.745 0.245 0.500
2 Zr 0.002 0.002 0.000
3 Sb 0.259 0.759 0.500
4 Ag 0.495 0.495 0.000


Here is a relaxed Sm3SeSN crystal from Alexandria. Energies are from PBE.

Output
Uncorrected energy in eV per formula unit: -39.45

Cell: 3.724 7.773 10.237 Å, 104.44 90.00 90.00°
Element x y z (fractional)
1 Sm 0.250 0.129 0.897
2 N 0.250 0.665 0.080
3 Sm 0.250 0.801 0.557
4 Sm 0.750 0.481 0.145
5 Sm 0.750 0.871 0.103
6 N 0.750 0.335 0.920
7 Sm 0.250 0.519 0.855
8 Se 0.250 0.193 0.205
9 S 0.750 0.829 0.367
10 Se 0.750 0.807 0.795
11 Sm 0.750 0.199 0.443
12 S 0.250 0.171 0.633


Here is a relaxed CaY4Tc crystal from Alexandria. Energies are from PBE.

Output
Uncorrected energy in eV per formula unit: -38.22
Excess energy over the best structure of this formula in the dataset in eV per atom: 0.000
Calculated formation energy in eV per formula unit: 0.00

Cell: 6.547 7.548 7.549 Å, 91.04 93.37 93.36°
Element x y z (fractional)
1 Y 0.534 0.298 0.889
2 Y 0.960 0.702 0.884
3 Tc 0.750 0.999 0.001
4 Y 0.966 0.111 0.702
5 Tc 0.250 0.001 0.999
6 Y 0.040 0.298 0.116
7 Ca 0.250 0.469 0.531
8 Y 0.540 0.116 0.298
9 Y 0.460 0.884 0.702
10 Ca 0.750 0.531 0.469
11 Y 0.034 0.889 0.298
12 Y 0.466 0.702 0.111


Here is a relaxed Pm7SnC2 crystal from Alexandria. Energies are from PBE.

Output
Uncorrected energy in eV per formula unit: -54.41
Calculated formation energy in eV per formula unit: 1.29

Cell: 4.715 4.715 13.907 Å, 80.24 80.24 60.00°
Element x y z (fractional)
1 C 0.934 0.934 0.198
2 Pm 0.869 0.869 0.392
3 Pm 0.710 0.710 0.869
4 Pm 0.415 0.415 0.755
5 C 0.066 0.066 0.802
6 Pm 0.290 0.290 0.131
7 Sn 0.500 0.500 0.500
8 Pm 0.585 0.585 0.245
9 Pm 0.000 0.000 0.000
10 Pm 0.131 0.131 0.608


Here is a relaxed Na2Mg2Os crystal from Alexandria. Energies are from PBE.

Output
Uncorrected energy in eV per formula unit: -12.62
Excess energy over the best structure of this formula in the dataset in eV per atom: 0.000
Calculated formation energy in eV per formula unit: 4.43

Cell: 8.106 8.106 2.953 Å, 90.00 90.00 90.00°
Element x y z (fractional)
1 Na 0.622 0.122 0.000
2 Mg 0.816 0.316 0.500
3 Na 0.878 0.622 0.000
4 Mg 0.684 0.816 0.500
5 Mg 0.184 0.684 0.500
6 Os 0.000 0.000 0.000
7 Os 0.500 0.500 0.000
8 Na 0.378 0.878 0.000
9 Na 0.122 0.378 0.000
10 Mg 0.316 0.184 0.500


Here is a relaxed PuTiCl6 crystal from Alexandria. Energies are from PBE.

Output
Uncorrected energy in eV per formula unit: -46.95
Excess energy over the best structure of this formula in the dataset in eV per atom: 0.015

Cell: 6.530 6.529 7.037 Å, 62.36 62.35 59.99°
Each line ends with the local moment (μB).
Element x y z (fractional)
1 Ti 0.000 0.000 0.000  0.83
2 Pu 0.500 0.500 0.500  5.16
3 Cl 0.912 0.624 0.234  -0.04
4 Cl 0.088 0.376 0.766  -0.04
5 Cl 0.376 0.769 0.766  -0.04
6 Cl 0.624 0.231 0.234  -0.04
7 Cl 0.231 0.911 0.234  -0.04
8 Cl 0.769 0.089 0.766  -0.04


Here is a relaxed Ta2BeCo crystal from Alexandria. Energies are from PBE.

Output
Uncorrected energy in eV per formula unit: -35.15
Calculated formation energy in eV per formula unit: -0.61

Cell: 3.688 3.130 5.047 Å, 71.94 90.00 90.00°
Element x y z (fractional)
1 Ta 0.500 0.271 0.331
2 Co 0.500 0.558 0.759
3 Ta 0.000 0.972 0.932
4 Be 0.000 0.699 0.477


Here is a relaxed Ca4AsBr4 crystal from Alexandria. Energies are from PBE.

Output
Uncorrected energy in eV per formula unit: -34.37

Cell: 4.268 7.386 9.426 Å, 75.09 76.92 73.21°
Element x y z (fractional)
1 Br 0.696 0.407 0.201
2 Br 0.889 0.813 0.408
3 Br 0.111 0.187 0.592
4 Ca 0.691 0.904 0.715
5 Br 0.304 0.593 0.799
6 As 0.500 0.000 0.000
7 Ca 0.309 0.096 0.285
8 Ca 0.913 0.269 0.905
9 Ca 0.087 0.731 0.095


Here is a relaxed LaPm3Y2 crystal from Alexandria. Energies are from PBE.

Output
Uncorrected energy in eV per formula unit: -32.12
Excess energy over the best structure of this formula in the dataset in eV per atom: 0.000
Calculated formation energy in eV per formula unit: -0.02

Cell: 7.331 10.418 7.335 Å, 79.98 119.92 121.77°
Element x y z (fractional)
1 Pm 0.252 0.002 0.751
2 Pm 0.196 0.335 0.639
3 La 0.253 0.001 0.251
4 Y 0.698 0.336 0.140
5 Y 0.302 0.663 0.360
6 La 0.747 0.999 0.749
7 Pm 0.804 0.665 0.861
8 Pm 0.804 0.665 0.361
9 Pm 0.196 0.335 0.139
10 Y 0.698 0.337 0.640
11 Y 0.302 0.664 0.860
12 Pm 0.748 0.998 0.249


Here is a relaxed AlNi2Ge crystal from Alexandria. Energies are from PBE.

Output
Uncorrected energy in eV per formula unit: -19.79
Calculated formation energy in eV per formula unit: 0.13

Cell: 6.567 6.567 5.328 Å, 51.95 51.95 90.00°
Element x y z (fractional)
1 Ge 0.750 0.250 0.500
2 Al 0.500 0.500 0.000
3 Al 0.250 0.750 0.500
4 Ge 0.000 0.000 0.000
5 Ni 0.633 0.125 0.250
6 Ni 0.375 0.367 0.750
7 Ni 0.875 0.883 0.750
8 Ni 0.117 0.625 0.250


Here is a relaxed YCo2Si crystal from Alexandria. Energies are from PBE.

Output
Uncorrected energy in eV per formula unit: -27.94

Cell: 3.952 3.952 5.400 Å, 68.53 68.53 60.00°
Each line ends with the local moment (μB).
Element x y z (fractional)
1 Y 0.251 0.251 0.247  -0.10
2 Co 0.744 0.744 0.770  1.12
3 Si 0.452 0.452 0.645  0.00
4 Co 0.054 0.054 0.838  1.08


Here is a relaxed Ba2Mg4Zn crystal from Alexandria. Energies are from PBE.

Output
Uncorrected energy in eV per formula unit: -11.06
Calculated formation energy in eV per formula unit: 0.44

Cell: 5.146 5.146 10.287 Å, 75.51 75.51 90.00°
Element x y z (fractional)
1 Mg 0.500 0.000 0.000
2 Ba 0.334 0.334 0.332
3 Mg 0.000 0.500 0.000
4 Zn 0.000 0.000 0.000
5 Mg 0.134 0.134 0.731
6 Mg 0.866 0.866 0.269
7 Ba 0.666 0.666 0.668


Here is a relaxed Sm3CoNi3 crystal from Alexandria. Energies are from PBE.

Output
Uncorrected energy in eV per formula unit: -40.59
Calculated formation energy in eV per formula unit: -1.98

Cell: 3.932 5.570 13.767 Å, 90.23 81.79 69.33°
Element x y z (fractional)
1 Co 0.726 0.177 0.372
2 Ni 0.888 0.663 0.562
3 Sm 0.414 0.769 0.403
4 Sm 0.586 0.231 0.597
5 Sm 0.775 0.678 0.772
6 Sm 0.225 0.322 0.228
7 Ni 0.113 0.849 0.924
8 Sm 0.406 0.266 0.923
9 Ni 0.112 0.337 0.438
10 Co 0.274 0.823 0.628
11 Ni 0.887 0.151 0.076
12 Ni 0.936 0.899 0.230
13 Sm 0.594 0.734 0.077
14 Ni 0.064 0.101 0.770


Here is a relaxed La3IrPb crystal from Alexandria. Energies are from PBE.

Output
Uncorrected energy in eV per formula unit: -30.14
Excess energy over the best structure of this formula in the dataset in eV per atom: 0.129
Calculated formation energy in eV per formula unit: -2.79

Cell: 16.240 9.405 9.405 Å, 100.48 133.15 46.85°
Element x y z (fractional)
1 La 0.625 0.561 0.585
2 La 0.875 0.085 0.061
3 Pb 0.750 0.069 0.569
4 Ir 0.399 0.804 0.102
5 Ir 0.899 0.398 0.696
6 La 0.290 0.643 0.722
7 Ir 0.601 0.196 0.898
8 La 0.376 0.165 0.691
9 Ir 0.101 0.602 0.304
10 La 0.710 0.357 0.278
11 La 0.624 0.835 0.309
12 Pb 0.750 0.569 0.069
13 La 0.876 0.809 0.335
14 Pb 0.250 0.931 0.431
15 La 0.210 0.222 0.143
16 La 0.124 0.191 0.665
17 Pb 0.250 0.431 0.931
18 La 0.375 0.439 0.415
19 La 0.790 0.778 0.857
20 La 0.125 0.915 0.939


Here is a relaxed ZrSbSe2N crystal from Alexandria. Energies are from PBE.

Output
Uncorrected energy in eV per formula unit: -28.46
Excess energy over the best structure of this formula in the dataset in eV per atom: 0.000

Cell: 5.392 5.392 4.001 Å, 90.00 90.00 90.00°
Element x y z (fractional)
1 N 0.000 0.000 0.500
2 Se 0.500 0.000 0.000
3 Zr 0.000 0.000 0.000
4 Se 0.000 0.500 0.000
5 Sb 0.500 0.500 0.500


Here is a relaxed La2Be3Si4Au crystal from Alexandria. Energies are from PBE.

Output
Uncorrected energy in eV per formula unit: -50.39

Cell: 4.138 4.138 9.910 Å, 90.00 90.00 90.00°
Element x y z (fractional)
1 Si 0.000 0.000 0.000
2 Si 0.500 0.500 0.000
3 Au 0.500 0.500 0.500
4 Be 0.500 0.000 0.879
5 Be 0.000 0.500 0.121
6 Si 0.000 0.500 0.356
7 Be 0.000 0.000 0.500
8 Si 0.500 0.000 0.644
9 La 0.500 0.000 0.240
10 La 0.000 0.500 0.760


Number 1: DOS at the Fermi energy 6.11 states/eV per cell. Number 2: DOS at the Fermi energy 4.36 states/eV per cell. Number 3: DOS at the Fermi energy 0.00 states/eV per cell. Number 4: DOS at the Fermi energy 5.87 states/eV per cell. Number 5: DOS at the Fermi energy 9.26 states/eV per cell. Number 6: DOS at the Fermi energy 6.98 states/eV per cell. Number 7: DOS at the Fermi energy 10.51 states/eV per cell. Number 8: DOS at the Fermi energy 4.05 states/eV per cell. Number 9: DOS at the Fermi energy 3.60 states/eV per cell. Number 10: DOS at the Fermi energy 5.81 states/eV per cell. Number 11: DOS at the Fermi energy 15.05 states/eV per cell. Number 12: DOS at the Fermi energy 8.72 states/eV per cell. Number 13: DOS at the Fermi energy 4.61 states/eV per cell. Number 14: DOS at the Fermi energy 13.66 states/eV per cell. Number 15: DOS at the Fermi energy 3.22 states/eV per cell. Number 16: DOS at the Fermi energy 3.23 states/eV per cell. Number 17: DOS at the Fermi energy 15.82 states/eV per cell. Number 18: DOS at the Fermi energy 4.36 states/eV per cell. Number 19: DOS at the Fermi energy 3.48 states/eV per cell. Number 20: DOS at the Fermi energy 6.41 states/eV per cell. Number 21: DOS at the Fermi energy 11.98 states/eV per cell. Number 22: DOS at the Fermi energy 15.10 states/eV per cell. Number 23: DOS at the Fermi energy 4.41 states/eV per cell. Number 24: DOS at the Fermi energy 2.72 states/eV per cell.